(1)
The following is a DFT calculation (PBE-GGA) of a relaxed ZnCrMo crystal. Values from VASP.

Output
* space-group type: No. 216
* density: 7.18 g cm⁻³
* energy of formation from the pure elements: 0.780 eV per atom
* crystal system: cubic

```
&SYSTEM
  ibrav = 0, nat = 12, ntyp = 3
/
ATOMIC_SPECIES
Zn 65.41 Zn.upf
Cr 52.00 Cr.upf
Mo 95.94 Mo.upf
CELL_PARAMETERS angstrom
5.8216 0.0000 0.0000
0.0000 5.8216 0.0000
0.0000 0.0000 5.8216
ATOMIC_POSITIONS crystal
Zn 0.0000 0.0000 0.0000
Zn 0.0000 0.5000 0.5000
Zn 0.5000 0.0000 0.5000
Zn 0.5000 0.5000 0.0000
Cr 0.2500 0.2500 0.7500
Cr 0.2500 0.7500 0.2500
Cr 0.7500 0.2500 0.2500
Cr 0.7500 0.7500 0.7500
Mo 0.0000 0.0000 0.5000
Mo 0.0000 0.5000 0.0000
Mo 0.5000 0.0000 0.0000
Mo 0.5000 0.5000 0.5000
```

***

(2)
The following is a DFT calculation (PBE-GGA) of a relaxed ReOs2RuW crystal. Values from VASP.

Output
* space-group type: No. 123
* density: 14.79 g cm⁻³
* energy of formation from the pure elements: 2.531 eV per atom
* crystal system: tetragonal

```
&SYSTEM
  ibrav = 0, nat = 5, ntyp = 4
/
ATOMIC_SPECIES
Re 186.21 Re.upf
Os 190.23 Os.upf
Ru 101.07 Ru.upf
W 183.84 W.upf
CELL_PARAMETERS angstrom
4.5757 0.0000 0.0000
0.0000 4.5757 0.0000
0.0000 0.0000 4.5676
ATOMIC_POSITIONS crystal
Re 0.0000 0.0000 0.0000
Os 0.0000 0.5000 0.5000
Os 0.5000 0.0000 0.5000
Ru 0.0000 0.0000 0.5000
W 0.5000 0.5000 0.0000
```

***

(3)
The following is a DFT calculation (PBE-GGA) of a relaxed BeAlHg2 crystal. Values from VASP.

Output
* space-group type: No. 12
* density: 9.15 g cm⁻³
* energy of formation from the pure elements: 0.454 eV per atom
* crystal system: monoclinic

```
&SYSTEM
  ibrav = 0, nat = 8, ntyp = 3
/
ATOMIC_SPECIES
Be 9.01 Be.upf
Al 26.98 Al.upf
Hg 200.59 Hg.upf
CELL_PARAMETERS angstrom
6.0614 0.0000 0.0000
0.0000 8.7801 0.0000
-1.9589 0.0000 2.9818
ATOMIC_POSITIONS crystal
Be 0.0000 0.0000 0.0000
Be 0.5000 0.5000 0.0000
Al 0.0000 0.5000 0.0000
Al 0.5000 0.0000 0.0000
Hg 0.2500 0.2500 0.0000
Hg 0.2500 0.7500 0.0000
Hg 0.7500 0.2500 0.0000
Hg 0.7500 0.7500 0.0000
```

***

(4)
The following is a DFT calculation (PBE-GGA) of a relaxed OsRh3 crystal. Values from VASP.

Output
* space-group type: No. 11
* density: 14.16 g cm⁻³
* energy of formation from the pure elements: 0.142 eV per atom
* crystal system: monoclinic

```
&SYSTEM
  ibrav = 0, nat = 8, ntyp = 2
/
ATOMIC_SPECIES
Os 190.23 Os.upf
Rh 102.91 Rh.upf
CELL_PARAMETERS angstrom
6.5535 0.0000 0.0000
0.0000 2.7167 0.0000
-1.8033 0.0000 6.5710
ATOMIC_POSITIONS crystal
Os 0.1158 0.2500 0.1570
Os 0.8842 0.7500 0.8430
Rh 0.1647 0.7500 0.4989
Rh 0.3050 0.7500 0.9096
Rh 0.4753 0.7500 0.3146
Rh 0.5247 0.2500 0.6854
Rh 0.6950 0.2500 0.0904
Rh 0.8353 0.2500 0.5011
```

***

(5)
The following is a DFT calculation (PBE-GGA) of a relaxed Rb2Pa2As2P crystal. Values from VASP.

Output
* space-group type: No. 139
* density: 5.74 g cm⁻³
* energy of formation from the pure elements: -0.591 eV per atom
* crystal system: tetragonal

```
&SYSTEM
  ibrav = 0, nat = 14, ntyp = 4
/
ATOMIC_SPECIES
Rb 85.47 Rb.upf
Pa 231.04 Pa.upf
As 74.92 As.upf
P 30.97 P.upf
CELL_PARAMETERS angstrom
5.1847 0.0000 0.0000
0.0000 5.1847 0.0000
0.0000 0.0000 17.5185
ATOMIC_POSITIONS crystal
Rb 0.0000 0.0000 0.1896
Rb 0.0000 0.0000 0.8104
Rb 0.5000 0.5000 0.3104
Rb 0.5000 0.5000 0.6896
Pa 0.0000 0.5000 0.0000
Pa 0.0000 0.5000 0.5000
Pa 0.5000 0.0000 0.0000
Pa 0.5000 0.0000 0.5000
As 0.0000 0.0000 0.3998
As 0.0000 0.0000 0.6002
As 0.5000 0.5000 0.1002
As 0.5000 0.5000 0.8998
P 0.0000 0.0000 0.0000
P 0.5000 0.5000 0.5000
```

***

(6)
The following is a DFT calculation (PBE-GGA) of a relaxed LiTaPb2 crystal. Values from VASP.

Output
* space-group type: No. 216
* density: 10.45 g cm⁻³
* energy of formation from the pure elements: 0.775 eV per atom
* crystal system: cubic

```
&SYSTEM
  ibrav = 0, nat = 16, ntyp = 3
/
ATOMIC_SPECIES
Li 6.94 Li.upf
Ta 180.95 Ta.upf
Pb 207.20 Pb.upf
CELL_PARAMETERS angstrom
7.2600 0.0000 0.0000
0.0000 7.2600 0.0000
0.0000 0.0000 7.2600
ATOMIC_POSITIONS crystal
Li 0.0000 0.0000 0.0000
Li 0.0000 0.5000 0.5000
Li 0.5000 0.0000 0.5000
Li 0.5000 0.5000 0.0000
Ta 0.2500 0.2500 0.2500
Ta 0.2500 0.7500 0.7500
Ta 0.7500 0.2500 0.7500
Ta 0.7500 0.7500 0.2500
Pb 0.0000 0.0000 0.5000
Pb 0.0000 0.5000 0.0000
Pb 0.2500 0.2500 0.7500
Pb 0.2500 0.7500 0.2500
Pb 0.5000 0.0000 0.0000
Pb 0.5000 0.5000 0.5000
Pb 0.7500 0.2500 0.2500
Pb 0.7500 0.7500 0.7500
```

***

(7)
The following is a DFT calculation (PBE-GGA) of a relaxed CaMg4Al crystal. Values from VASP.

Output
* space-group type: No. 216
* density: 1.82 g cm⁻³
* energy of formation from the pure elements: 0.054 eV per atom
* crystal system: cubic

```
&SYSTEM
  ibrav = 0, nat = 6, ntyp = 3
/
ATOMIC_SPECIES
Ca 40.08 Ca.upf
Mg 24.30 Mg.upf
Al 26.98 Al.upf
CELL_PARAMETERS angstrom
0.0000 4.2147 4.2147
4.2147 0.0000 4.2147
4.2147 4.2147 0.0000
ATOMIC_POSITIONS crystal
Ca 0.0000 0.0000 0.0000
Mg 0.1260 0.6247 0.6247
Mg 0.6247 0.1260 0.6247
Mg 0.6247 0.6247 0.1260
Mg 0.6247 0.6247 0.6247
Al 0.2500 0.2500 0.2500
```

***

(8)
The following is a DFT calculation (PBE-GGA) of a relaxed CeSi6Rh12 crystal. Values from VASP.

Output
* energy relative to the elements, uncorrected: -14.01 eV per formula unit
* space-group type: No. 166
* density: 8.81 g cm⁻³
* crystal system: trigonal

```
&SYSTEM
  ibrav = 0, nat = 19, ntyp = 3
/
ATOMIC_SPECIES
Ce 140.12 Ce.upf
Si 28.09 Si.upf
Rh 102.91 Rh.upf
CELL_PARAMETERS angstrom
5.5519 3.2054 2.7256
-5.5519 3.2054 2.7256
0.0000 -6.4108 2.7256
ATOMIC_POSITIONS crystal
Ce 0.0000 0.0000 0.0000
Si 0.2472 0.2472 0.6864
Si 0.2472 0.6864 0.2472
Si 0.3136 0.7528 0.7528
Si 0.6864 0.2472 0.2472
Si 0.7528 0.3136 0.7528
Si 0.7528 0.7528 0.3136
Rh 0.1307 0.5000 0.8693
Rh 0.1307 0.8693 0.5000
Rh 0.1835 0.4342 0.4342
Rh 0.4342 0.1835 0.4342
Rh 0.4342 0.4342 0.1835
Rh 0.5000 0.1307 0.8693
Rh 0.5000 0.8693 0.1307
Rh 0.5658 0.5658 0.8165
Rh 0.5658 0.8165 0.5658
Rh 0.8165 0.5658 0.5658
Rh 0.8693 0.1307 0.5000
Rh 0.8693 0.5000 0.1307
```

***

| no. | VASP energy (eV/atom) |
| --- | --- |
| 1 | -6.463 |
| 2 | -8.896 |
| 3 | -1.564 |
| 4 | -8.179 |
| 5 | -5.682 |
| 6 | -4.521 |
| 7 | -1.966 |
| 8 | -7.405 |